[1]
The following is a PBE-GGA calculation of a geometry-optimized TbPr2PaRu2 structure, from the Alexandria database.

Formation energy from the elements = -0.293 eV/atom

Geometry as CIF:
```
data_TbPr2PaRu2
_cell_length_a 6.8638
_cell_length_b 6.9596
_cell_length_c 8.3801
_cell_angle_alpha 114.53
_cell_angle_beta 114.18
_cell_angle_gamma 90.00
_space_group_name_H-M_alt 'P 1'
_space_group_IT_number 1
loop_
_space_group_symop_operation_xyz
'x,y,z'
loop_
_atom_site_label
_atom_site_type_symbol
_atom_site_fract_x
_atom_site_fract_y
_atom_site_fract_z
Tb1 Tb 0.2500 0.0000 0.0000
Tb2 Tb 0.7500 0.0000 0.0000
Pr1 Pr 0.6938 0.9198 0.3876
Pr2 Pr 0.1938 0.4678 0.3876
Pr3 Pr 0.8062 0.5322 0.6124
Pr4 Pr 0.3062 0.0802 0.6124
Pa1 Pa 0.7500 0.5000 0.0000
Pa2 Pa 0.2500 0.5000 0.0000
Ru1 Ru 0.4057 0.6163 0.8114
Ru2 Ru 0.5943 0.3837 0.1886
Ru3 Ru 0.0943 0.8049 0.1886
Ru4 Ru 0.9057 0.1951 0.8114
```

[2]
The following is a PBE-GGA calculation of a geometry-optimized Er3HCSe structure, from the Alexandria database.

Calculated total energy = -5.8890 eV/atom

Geometry as CIF:
```
data_Er3HCSe
_cell_length_a 3.6630
_cell_length_b 7.7577
_cell_length_c 7.9822
_cell_angle_alpha 102.92
_cell_angle_beta 90.00
_cell_angle_gamma 90.00
_space_group_name_H-M_alt 'P 1'
_space_group_IT_number 1
loop_
_space_group_symop_operation_xyz
'x,y,z'
loop_
_atom_site_label
_atom_site_type_symbol
_atom_site_fract_x
_atom_site_fract_y
_atom_site_fract_z
Er1 Er 0.7500 0.8687 0.1405
Er2 Er 0.2500 0.1313 0.8595
Er3 Er 0.2500 0.7695 0.4671
Er4 Er 0.7500 0.2305 0.5329
Er5 Er 0.7500 0.4504 0.1597
Er6 Er 0.2500 0.5496 0.8403
H1 H 0.2500 0.0781 0.5790
H2 H 0.7500 0.9219 0.4210
C1 C 0.2500 0.6668 0.1584
C2 C 0.7500 0.3332 0.8416
Se1 Se 0.2500 0.1732 0.2255
Se2 Se 0.7500 0.8268 0.7745
```

[3]
The following is a PBE-GGA calculation of a geometry-optimized LaNb2Fe2 structure, from the Alexandria database.

ΔE to the lowest computed polymorph = 0 meV/atom
Formation energy from the elements = 0.024 eV/atom

Geometry as CIF:
```
data_LaNb2Fe2
_cell_length_a 4.3268
_cell_length_b 4.3268
_cell_length_c 5.8883
_cell_angle_alpha 68.44
_cell_angle_beta 68.44
_cell_angle_gamma 90.00
_space_group_name_H-M_alt 'P 1'
_space_group_IT_number 1
loop_
_space_group_symop_operation_xyz
'x,y,z'
loop_
_atom_site_label
_atom_site_type_symbol
_atom_site_fract_x
_atom_site_fract_y
_atom_site_fract_z
Nb1 Nb 0.7500 0.2500 0.5000
Nb2 Nb 0.2500 0.7500 0.5000
Fe1 Fe 0.3805 0.3805 0.2390
Fe2 Fe 0.6195 0.6195 0.7610
La1 La 0.0000 0.0000 0.0000
```

[4]
The following is a PBE-GGA calculation of a geometry-optimized MnVSe structure, from the Alexandria database.

E_form (uncorrected) = 0.057 eV per atom

Geometry as CIF:
```
data_MnVSe
_cell_length_a 2.9998
_cell_length_b 3.2280
_cell_length_c 10.7081
_cell_angle_alpha 98.18
_cell_angle_beta 81.95
_cell_angle_gamma 62.31
_space_group_name_H-M_alt 'P 1'
_space_group_IT_number 1
loop_
_space_group_symop_operation_xyz
'x,y,z'
loop_
_atom_site_label
_atom_site_type_symbol
_atom_site_fract_x
_atom_site_fract_y
_atom_site_fract_z
V1 V 0.7935 0.0068 0.4063
V2 V 0.2065 0.9932 0.5937
Mn1 Mn 0.9456 0.1766 0.9323
Mn2 Mn 0.0544 0.8234 0.0677
Se1 Se 0.2595 0.2405 0.2406
Se2 Se 0.7405 0.7595 0.7594
```

[5]
The following is a PBE-GGA calculation of a geometry-optimized BeSiMo structure, from the Alexandria database.

ΔE to the lowest computed polymorph = 646 meV/atom
E_form (uncorrected) = 0.534 eV per atom

Geometry as CIF:
```
data_BeSiMo
_cell_length_a 4.0125
_cell_length_b 4.0125
_cell_length_c 4.0125
_cell_angle_alpha 60.00
_cell_angle_beta 60.00
_cell_angle_gamma 60.00
_space_group_name_H-M_alt 'P 1'
_space_group_IT_number 1
loop_
_space_group_symop_operation_xyz
'x,y,z'
loop_
_atom_site_label
_atom_site_type_symbol
_atom_site_fract_x
_atom_site_fract_y
_atom_site_fract_z
Be1 Be 0.5000 0.5000 0.5000
Mo1 Mo 0.7500 0.7500 0.7500
Si1 Si 0.0000 0.0000 0.0000
```

[6]
The following is a PBE-GGA calculation of a geometry-optimized SiHg2Sb structure, from the Alexandria database.

ΔE to the lowest computed polymorph = 137 meV/atom
E_form (uncorrected) = 0.304 eV per atom

Geometry as CIF:
```
data_SiHg2Sb
_cell_length_a 6.7719
_cell_length_b 6.7719
_cell_length_c 6.7719
_cell_angle_alpha 147.29
_cell_angle_beta 143.35
_cell_angle_gamma 49.93
_space_group_name_H-M_alt 'P 1'
_space_group_IT_number 1
loop_
_space_group_symop_operation_xyz
'x,y,z'
loop_
_atom_site_label
_atom_site_type_symbol
_atom_site_fract_x
_atom_site_fract_y
_atom_site_fract_z
Hg1 Hg 0.0497 0.0497 0.0000
Hg2 Hg 0.7314 0.2314 0.5000
Sb1 Sb 0.4383 0.4383 0.0000
Si1 Si 0.2806 0.7806 0.5000
```